TbNdSmTm2 after structural relaxation, computed with PBE-GGA.

Output
Formation energy = 1.9 eV/f.u.
Fermi-level density of states = 31.011 states/eV per cell
Volume = 690.6 Å³ per cell

Unit cell a=8.387 b=11.492 c=7.165 alpha=90.00 beta=90.00 gamma=90.00
Space group Cmcm (No. 63)
Inequivalent atoms, fractional coordinates:
1 Tb 0.000 0.221 0.250 [4 per cell]
2 Nd 0.000 0.228 0.750 [4 per cell]
3 Sm 0.000 0.499 0.250 [4 per cell]
4 Tm 0.187 0.000 0.000 [8 per cell]

***

TbNd5Sm2Tm after structural relaxation, computed with PBE-GGA.

Output
Formation energy = 2.6 eV/f.u.
Fermi-level density of states = 55.838 states/eV per cell
Volume = 1243.2 Å³ per cell

Unit cell a=8.631 b=8.631 c=16.688 alpha=90.00 beta=90.00 gamma=90.00
Space group I4/mcm (No. 140)
Inequivalent atoms, fractional coordinates:
1 Tb 0.000 0.000 0.250 [4 per cell]
2 Nd 0.000 0.000 0.000 [4 per cell]
3 Nd 0.216 0.284 0.142 [16 per cell]
4 Sm 0.121 0.379 0.500 [8 per cell]
5 Tm 0.000 0.500 0.250 [4 per cell]

***

TbNd2SmTm4 after structural relaxation, computed with PBE-GGA.

Output
Formation energy = 3.4 eV/f.u.
Fermi-level density of states = 72.801 states/eV per cell
Volume = 1059.7 Å³ per cell

Unit cell a=6.790 b=11.793 c=13.233 alpha=90.00 beta=90.00 gamma=90.00
Space group Imma (No. 74)
Inequivalent atoms, fractional coordinates:
1 Tb 0.250 0.250 0.250 [4 per cell]
2 Nd 0.000 0.000 0.000 [4 per cell]
3 Nd 0.250 0.250 0.750 [4 per cell]
4 Sm 0.000 0.000 0.500 [4 per cell]
5 Tm 0.000 0.003 0.250 [8 per cell]
6 Tm 0.250 0.250 0.003 [8 per cell]

***

TbNd4SmTm2 after structural relaxation, computed with PBE-GGA.

Output
Formation energy = 0.1 eV/f.u.
Fermi-level density of states = 10.392 states/eV per cell
Volume = 265.3 Å³ per cell

Unit cell a=6.256 b=3.624 c=11.889 alpha=90.00 beta=100.17 gamma=90.00
Space group P2/m (No. 10)
Inequivalent atoms, fractional coordinates:
1 Tb 0.000 0.000 0.000 [1 per cell]
2 Nd 0.251 0.000 0.753 [2 per cell]
3 Nd 0.251 0.500 0.251 [2 per cell]
4 Sm 0.000 0.500 0.500 [1 per cell]
5 Tm 0.500 0.000 0.500 [1 per cell]
6 Tm 0.500 0.500 0.000 [1 per cell]

***

Tb6NdSm2Y after structural relaxation, computed with PBE-GGA.

Output
Formation energy = 1.2 eV/f.u.
Fermi-level density of states = 59.971 states/eV per cell
Volume = 1326.4 Å³ per cell

Unit cell a=9.061 b=15.189 c=9.752 alpha=90.00 beta=98.75 gamma=90.00
Space group C2/c (No. 15)
Inequivalent atoms, fractional coordinates:
1 Tb 0.065 0.189 0.444 [8 per cell]
2 Tb 0.105 0.396 0.621 [8 per cell]
3 Tb 0.198 0.225 0.815 [8 per cell]
4 Nd 0.000 0.406 0.250 [4 per cell]
5 Sm 0.243 0.053 0.042 [8 per cell]
6 Y 0.000 0.020 0.750 [4 per cell]

***

TbNd2Sm3Y6 after structural relaxation, computed with PBE-GGA.

Output
Formation energy = 0.1 eV/f.u.
Fermi-level density of states = 30.577 states/eV per cell
Volume = 790.8 Å³ per cell

Unit cell a=6.250 b=10.820 c=11.877 alpha=90.00 beta=100.06 gamma=90.00
Space group C2/m (No. 12)
Inequivalent atoms, fractional coordinates:
1 Tb 0.000 0.000 0.000 [2 per cell]
2 Nd 0.000 0.334 0.000 [4 per cell]
3 Sm 0.000 0.167 0.500 [4 per cell]
4 Sm 0.000 0.500 0.500 [2 per cell]
5 Y 0.249 0.000 0.749 [4 per cell]
6 Y 0.250 0.166 0.250 [8 per cell]

***

Tb2Nd2SmY after structural relaxation, computed with PBE-GGA.

Output
Formation energy = 0.3 eV/f.u.
Fermi-level density of states = 19.051 states/eV per cell
Volume = 399.2 Å³ per cell

Unit cell a=7.087 b=5.704 c=9.876 alpha=90.00 beta=90.00 gamma=90.00
Space group Pmma (No. 51)
Inequivalent atoms, fractional coordinates:
1 Tb 0.250 0.000 0.164 [2 per cell]
2 Tb 0.250 0.500 0.669 [2 per cell]
3 Nd 0.000 0.500 0.000 [2 per cell]
4 Nd 0.250 0.000 0.826 [2 per cell]
5 Sm 0.250 0.500 0.340 [2 per cell]
6 Y 0.000 0.000 0.500 [2 per cell]

***

TbNdSmY after structural relaxation, computed with PBE-GGA.

Output
Formation energy = 0.5 eV/f.u.
Fermi-level density of states = 33.981 states/eV per cell
Volume = 537.3 Å³ per cell
Polymorph energy (0 for the lowest one) = 105 meV per atom

Unit cell a=8.130 b=8.130 c=8.130 alpha=90.00 beta=90.00 gamma=90.00
Space group F-43m (No. 216)
Inequivalent atoms, fractional coordinates:
1 Tb 0.000 0.000 0.000 [4 per cell]
2 Nd 0.250 0.250 0.250 [4 per cell]
3 Sm 0.250 0.250 0.750 [4 per cell]
4 Y 0.000 0.000 0.500 [4 per cell]